1.
# NiAg2W SCAN single point on PBEsol structure
# - E_form: 0.56 eV/atom
# - Electronic total energy: -146.34 eV/f.u.
# - Magnetization: 0.0 μB per formula unit
# - Fermi-level density of states: 2.49 states/eV/cell
data_NiAg2W
_cell_length_a 4.8819
_cell_length_b 4.8819
_cell_length_c 4.7027
_cell_angle_alpha 98.44
_cell_angle_beta 98.44
_cell_angle_gamma 31.88
_space_group_name_H-M_alt 'P 1'
_space_group_IT_number 1
loop_
_space_group_symop_operation_xyz
'x,y,z'
loop_
_atom_site_label
_atom_site_fract_x
_atom_site_fract_y
_atom_site_fract_z
_atom_site_occupancy
Ni1 0.0000 0.0000 0.0000 1
Ag1 0.2536 0.2536 0.7536 1
Ag2 0.7464 0.7464 0.2464 1
W1 0.5000 0.5000 0.5000 1

---

2.
# YNiAg2 SCAN single point on PBEsol structure
# - E_form: 0.07 eV/atom
# - Electronic total energy: -106.48 eV/f.u.
# - Magnetization: 0.0 μB per formula unit
# - Fermi-level density of states: 1.29 states/eV/cell
data_YNiAg2
_cell_length_a 5.6810
_cell_length_b 5.6810
_cell_length_c 3.7909
_cell_angle_alpha 108.94
_cell_angle_beta 108.94
_cell_angle_gamma 123.72
_space_group_name_H-M_alt 'P 1'
_space_group_IT_number 1
loop_
_space_group_symop_operation_xyz
'x,y,z'
loop_
_atom_site_label
_atom_site_fract_x
_atom_site_fract_y
_atom_site_fract_z
_atom_site_occupancy
Y1 0.0000 0.0000 0.0000 1
Ni1 0.5000 0.5000 0.0000 1
Ag1 0.0000 0.5000 0.5000 1
Ag2 0.5000 0.0000 0.5000 1